Below is a relaxed structure of KCrGe2O6, with properties calculated at the GGA+U level.

```
KCrGe2O6
1.0
5.680 -0.076 -0.079
1.737 7.475 -0.162
1.737 -0.438 7.464
K Cr Ge O
2 2 4 12
Direct
0.250 0.897 0.103
0.750 0.103 0.897
0.250 0.233 0.767
0.750 0.767 0.233
0.324 0.787 0.620
0.176 0.380 0.213
0.676 0.213 0.380
0.824 0.620 0.787
0.224 0.988 0.758
0.276 0.242 0.012
0.776 0.012 0.242
0.724 0.758 0.988
0.437 0.810 0.395
0.063 0.605 0.190
0.563 0.190 0.605
0.937 0.395 0.810
0.047 0.706 0.631
0.453 0.369 0.294
0.953 0.294 0.369
0.547 0.631 0.706
```

Summary:
total DFT energy (no corrections)	-6.385	eV per atom
V	15.93	Å³/atom
mass density	3.465	g/cm3